A:
Compound: Sn2PdI
Source: Alexandria via LeMat-Bulk
Functional: PBE
Structure: optimized geometry

The density of states at the Fermi level comes out at 0.38 states/eV per atom.

The space group is I-42d (No. 122) and the conventional cell measures 6.4915, 6.4915 and 13.9560 Å, with angles of 90.00, 90.00 and 90.00 degrees. The asymmetric unit holds Sn at (0.1508, 0.2500, 0.1250), Pd at (0.0000, 0.0000, 0.0000) and I at (0.0000, 0.0000, 0.5000).



B:
Compound: Sn2PdI
Source: Alexandria via LeMat-Bulk
Functional: PBE
Structure: optimized geometry

The density of states at the Fermi level comes out at 0.72 states/eV per atom.

The space group is Fm-3m (No. 225) and the conventional cell measures 7.4434, 7.4434 and 7.4434 Å, with angles of 90.00, 90.00 and 90.00 degrees. The asymmetric unit holds Sn at (0.2500, 0.2500, 0.2500), Pd at (0.0000, 0.0000, 0.0000) and I at (0.0000, 0.0000, 0.5000).



Consider the structures shown above. The least stable of them is B.